The following is a DFT calculation (meta-GGA SCAN) of a PBEsol-optimized structure of BaNi2Te.

## Properties
Raw formation energy: 0.40 eV/atom
V: 84 Å³/cell
Magnetization: 0.00 μB per cell
DFT total energy: -107.552 eV/cell
Symmetry: No. 119

Cell lengths 6.031, 6.031, 6.031 Å; angles 141.55, 141.55, 55.51 degrees
Element x y z (fractional)
Ba1 0.000 0.000 0.000
Ni1 0.500 0.500 0.000
Ni2 0.750 0.250 0.500
Te1 0.250 0.750 0.500

The following is a DFT calculation (meta-GGA SCAN) of a PBEsol-optimized structure of Ag3BRh.

## Properties
Formation energy from the elements: 697 meV/atom
V: 75 Å³/cell
Magnetization: 0.89 μB per cell
DFT total energy: -131.819 eV/cell
Symmetry: No. 221

Cell lengths 4.209, 4.209, 4.209 Å; angles 90.00, 90.00, 90.00 degrees
Element x y z (fractional)
Ag1 0.000 0.000 0.500
Ag2 0.000 0.500 0.000
Ag3 0.500 0.000 0.000
B1 0.000 0.000 0.000
Rh1 0.500 0.500 0.500

The following is a DFT calculation (meta-GGA SCAN) of a PBEsol-optimized structure of La3Y2.

## Properties
Formation energy from the elements: 22 meV/atom
V: 163 Å³/cell
Magnetization: 0.00 μB per cell
DFT total energy: -184.892 eV/cell
Symmetry: No. 166

Cell lengths 14.732, 14.732, 14.732 Å; angles 14.01, 14.01, 14.01 degrees
Element x y z (fractional)
La1 0.000 0.000 0.000
La2 0.200 0.200 0.200
La3 0.800 0.800 0.800
Y1 0.399 0.399 0.399
Y2 0.601 0.601 0.601